# 1
CaMg2Ag (PBE-GGA, optimized geometry); electronic total energy = -8.37 eV/cell; N(E_F) = 2.57 states/eV per cell
1.0
0.000 3.587 3.587
3.587 0.000 3.587
3.587 3.587 0.000
Ca Mg Ag
1 2 1
Cartesian
0.000 0.000 0.000
1.793 1.793 1.793
5.380 5.380 5.380
3.587 3.587 3.587

# 2
Sc3Zn4Au2 (PBE-GGA, optimized geometry); electronic total energy = -35.35 eV/cell; N(E_F) = 5.80 states/eV per cell
1.0
4.980 -2.227 0.000
4.980 2.227 0.000
-4.032 0.000 7.300
Sc Zn Au
3 4 2
Cartesian
0.000 0.000 0.000
1.947 0.000 2.450
3.982 0.000 4.850
-1.041 0.000 2.875
-1.043 0.000 6.972
6.971 0.000 0.328
6.970 0.000 4.424
0.970 0.000 5.304
4.958 0.000 1.996

# 3
TmTlHgBi (PBE-GGA, optimized geometry); electronic total energy = -11.81 eV/cell; N(E_F) = 2.15 states/eV per cell
1.0
0.000 3.851 3.851
3.851 0.000 3.851
3.851 3.851 0.000
Tm Tl Hg Bi
1 1 1 1
Cartesian
0.000 0.000 0.000
3.851 3.851 3.851
1.926 1.926 1.926
5.777 5.777 5.777

# 4
Pu3InI8 (PBE-GGA, optimized geometry); formation energy (no corrections) = -0.98 eV/atom; N(E_F) = 44.94 states/eV per cell
1.0
7.915 -4.693 0.000
7.915 4.693 0.000
-5.208 0.000 7.730
Pu In I
3 1 8
Cartesian
0.000 0.000 0.000
1.354 2.346 3.865
1.354 -2.346 3.865
7.915 0.000 0.000
3.918 2.512 5.751
0.056 0.000 5.558
6.704 2.512 1.980
2.583 0.000 1.989
8.039 0.000 5.741
3.918 -2.512 5.751
10.567 0.000 2.172
6.704 -2.512 1.980

# 5
Nd4SmMg5 (PBE-GGA, optimized geometry); electronic total energy = -32.85 eV/cell; N(E_F) = 11.46 states/eV per cell
1.0
3.875 0.000 0.000
0.000 3.875 0.000
0.000 0.000 19.453
Nd Sm Mg
4 1 5
Cartesian
0.000 0.000 1.959
0.000 0.000 5.868
0.000 0.000 13.585
0.000 0.000 17.494
0.000 0.000 9.726
1.938 1.938 0.000
1.938 1.938 3.921
1.938 1.938 7.815
1.938 1.938 11.638
1.938 1.938 15.531

# 6
Te3Pb (PBE-GGA, optimized geometry); formation energy (no corrections) = -0.03 eV/atom; N(E_F) = 3.93 states/eV per cell
1.0
2.297 1.326 7.348
-2.297 1.326 7.348
0.000 -2.652 7.348
Te Pb
3 1
Cartesian
0.000 0.000 0.000
0.000 0.000 5.513
0.000 0.000 16.531
0.000 0.000 11.022

# 7
Ac2Sm2Pb (PBE-GGA, optimized geometry); electronic total energy = -20.62 eV/cell; N(E_F) = 6.30 states/eV per cell
1.0
-2.256 2.256 9.803
2.256 -2.256 9.803
2.256 2.256 -9.803
Ac Sm Pb
2 2 1
Cartesian
0.000 0.000 1.727
0.000 0.000 17.879
2.256 0.000 4.902
0.000 2.256 4.902
0.000 0.000 9.803

# 8
Pr2Nd2Sm2Y (PBE-GGA, optimized geometry); electronic total energy = -34.91 eV/cell; N(E_F) = 10.37 states/eV per cell
1.0
5.779 -2.590 0.000
5.779 2.590 0.000
-1.153 0.000 8.128
Pr Nd Sm Y
2 2 2 1
Cartesian
2.310 0.000 1.158
8.094 0.000 6.970
3.472 0.000 4.651
6.932 0.000 3.477
0.000 0.000 5.801
10.405 0.000 2.326
5.779 0.000 0.000

| no. | total magnetization (μB per atom) | mass density (g/cm3) |
| --- | --- | --- |
| 1 | 0.000 | 3.54 |
| 2 | 0.000 | 8.11 |
| 3 | 0.000 | 11.38 |
| 4 | 0.473 | 5.38 |
| 5 | 0.000 | 4.82 |
| 6 | 0.000 | 7.30 |
| 7 | 0.000 | 8.00 |
| 8 | 0.000 | 6.55 |